Entry 1:
The following is a PBE calculation of an optimized crystal structure of HfFeS2, from Alexandria.

Cell: 5.2936 5.2936 6.5213 Å, 66.05 66.05 90.00°
Closest atoms and distances in Å follow each position.
Atoms (fractional coordinates):
S: 0.5793 0.1250 0.2500  2 Fe 2.17
S: 0.1707 0.6250 0.2500  2 Fe 2.17
S: 0.3750 0.4207 0.7500  2 Fe 2.17
S: 0.8750 0.8293 0.7500  2 Fe 2.17
Hf: 0.0000 0.0000 0.0000  4 S 2.45
Hf: 0.7500 0.2500 0.5000  4 S 2.45
Fe: 0.5000 0.5000 0.0000  4 S 2.17
Fe: 0.2500 0.7500 0.5000  4 S 2.17

Space group ... I-42d (122)
Volume ... 18.7 Å³ per atom
D(E_F) ... 7.7 states/eV/cell
Electronic total energy ... -29.14 eV/f.u.
Formation energy (no corrections) ... -238 kJ/mol of formula units
Excess energy over the best structure of this formula in the dataset ... 0.052 eV per atom

Entry 2:
The following is a PBE calculation of an optimized crystal structure of ScUCo4, from Alexandria.

Cell: 4.8817 4.8817 4.8817 Å, 60.00 60.00 60.00°
Closest atoms and distances in Å follow each position.
Atoms (fractional coordinates):
Sc: 0.0000 0.0000 0.0000  12 Co 2.86, 4 U 2.99
U: 0.2500 0.2500 0.2500  12 Co 2.86, 4 Sc 2.99
Co: 0.6255 0.6255 0.1234  6 Co 2.43-2.45
Co: 0.6255 0.1234 0.6255  6 Co 2.43-2.45
Co: 0.6255 0.6255 0.6255  6 Co 2.43-2.45
Co: 0.1234 0.6255 0.6255  6 Co 2.43-2.45

Space group ... F-43m (216)
Volume ... 13.7 Å³ per atom
D(E_F) ... 10.3 states/eV/cell
Electronic total energy ... -47.42 eV/f.u.
Energy of formation ... -0.230 eV per atom

Entry 3:
The following is a PBE calculation of an optimized crystal structure of LiAg6Bi, from Alexandria.

Cell: 4.9472 6.0237 6.0237 Å, 119.92 90.00 90.00°
Closest atoms and distances in Å follow each position.
Atoms (fractional coordinates):
Li: 0.0000 0.0839 0.9161  12 Ag 3.01-3.02
Ag: 0.0000 0.0684 0.4087  8 Ag 2.88-3.15, 2 Li 3.01, 2 Bi 3.07
Ag: 0.0000 0.5913 0.9316  8 Ag 2.88-3.15, 2 Li 3.01, 2 Bi 3.07
Ag: 0.0000 0.5907 0.4093  8 Ag 2.88-3.14, 2 Li 3.02, 2 Bi 3.07
Ag: 0.5000 0.4131 0.0821  8 Ag 2.98-3.04, 2 Bi 3.01, 2 Li 3.01
Ag: 0.5000 0.9179 0.5869  8 Ag 2.98-3.04, 2 Bi 3.01, 2 Li 3.01
Ag: 0.5000 0.9183 0.0817  8 Ag 2.98-3.04, 2 Bi 3.02, 2 Li 3.02
Bi: 0.5000 0.4162 0.5838  12 Ag 3.01-3.07

Space group ... Amm2 (38)
Volume ... 19.4 Å³ per atom
D(E_F) ... 2.5 states/eV/cell
Electronic total energy ... -22.87 eV/f.u.
Energy of formation ... 0.004 eV per atom
Excess energy over the best structure of this formula in the dataset ... 0.026 eV per atom

Entry 4:
The following is a PBE calculation of an optimized crystal structure of Hf2Tl2Re, from Alexandria.

Cell: 6.8663 6.8663 4.9922 Å, 90.00 90.00 90.00°
Closest atoms and distances in Å follow each position.
Atoms (fractional coordinates):
Re: 0.0000 0.0000 0.0000  4 Hf 2.58
Re: 0.5000 0.5000 0.0000  4 Hf 2.58
Tl: 0.1658 0.6658 0.5000  6 Hf 3.02-3.35, 1 Tl 3.22
Tl: 0.6658 0.8342 0.5000  6 Hf 3.02-3.35, 1 Tl 3.22
Tl: 0.8342 0.3342 0.5000  6 Hf 3.02-3.35, 1 Tl 3.22
Tl: 0.3342 0.1658 0.5000  6 Hf 3.02-3.35, 1 Tl 3.22
Hf: 0.3407 0.8407 0.0000  2 Re 2.58
Hf: 0.8407 0.6593 0.0000  2 Re 2.58
Hf: 0.6593 0.1593 0.0000  2 Re 2.58
Hf: 0.1593 0.3407 0.0000  2 Re 2.58

Space group ... P4/mbm (127)
Volume ... 23.5 Å³ per atom
D(E_F) ... 7.2 states/eV/cell
Electronic total energy ... -34.40 eV/f.u.
Energy of formation ... 0.538 eV per atom
Excess energy over the best structure of this formula in the dataset ... 0.000 eV per atom

Entry 5:
The following is a PBE calculation of an optimized crystal structure of HgP, from Alexandria.

Cell: 6.1323 6.1323 5.1068 Å, 90.00 90.00 90.00°
Closest atoms and distances in Å follow each position.
Atoms (fractional coordinates):
Hg: 0.1802 0.1802 0.0000  2 P 2.60
Hg: 0.6802 0.3198 0.5000  2 P 2.60
Hg: 0.3198 0.6802 0.5000  2 P 2.60
Hg: 0.8198 0.8198 0.0000  2 P 2.60
P: 0.3741 0.6259 0.0000  1 P 2.18
P: 0.8741 0.8741 0.5000  1 P 2.18
P: 0.1259 0.1259 0.5000  1 P 2.18
P: 0.6259 0.3741 0.0000  1 P 2.18

Space group ... P4_2/mnm (136)
Volume ... 24.0 Å³ per atom
D(E_F) ... 3.5 states/eV/cell
Electronic total energy ... -5.04 eV/f.u.
Energy of formation ... 0.335 eV per atom
Excess energy over the best structure of this formula in the dataset ... 0.305 eV per atom

Entry 6:
The following is a PBE calculation of an optimized crystal structure of MgCdNi2, from Alexandria.

Cell: 4.8288 4.8288 4.8288 Å, 133.17 133.17 68.39°
Closest atoms and distances in Å follow each position.
Atoms (fractional coordinates):
Cd: 0.5000 0.5000 0.0000  8 Ni 2.71-2.77, 4 Mg 2.77
Mg: 0.7500 0.2500 0.5000  8 Ni 2.71-2.77, 4 Cd 2.77
Ni: 0.0000 0.0000 0.0000  4 Cd 2.71, 4 Mg 2.77, 4 Ni 2.77
Ni: 0.2500 0.7500 0.5000  4 Mg 2.71, 4 Ni 2.77, 4 Cd 2.77

Space group ... I-4m2 (119)
Volume ... 14.7 Å³ per atom
D(E_F) ... 2.5 states/eV/cell
Electronic total energy ... -14.12 eV/f.u.
Energy of formation ... -0.013 eV per atom

Entry 7:
The following is a PBE calculation of an optimized crystal structure of Sm2Ni4BiSb3, from Alexandria.

Cell: 4.4823 4.4823 10.1648 Å, 90.00 90.00 90.00°
Closest atoms and distances in Å follow each position.
Atoms (fractional coordinates):
Sm: 0.5000 0.0000 0.2281  8 Ni 3.22-3.47, 7 Sb 3.34-3.58, 2 Bi 3.56
Sm: 0.0000 0.5000 0.7719  8 Ni 3.22-3.47, 7 Sb 3.34-3.58, 2 Bi 3.56
Ni: 0.5000 0.5000 0.0000  4 Sb 2.57
Ni: 0.0000 0.0000 0.0000  4 Sb 2.57
Ni: 0.5000 0.0000 0.6329  3 Sb 2.47-2.62, 2 Bi 2.62
Ni: 0.0000 0.5000 0.3671  3 Sb 2.47-2.62, 2 Bi 2.62
Bi: 0.5000 0.5000 0.5000  4 Ni 2.62
Sb: 0.0000 0.0000 0.5000  4 Ni 2.62
Sb: 0.5000 0.0000 0.8760  5 Ni 2.47-2.57
Sb: 0.0000 0.5000 0.1240  5 Ni 2.47-2.57

Space group ... P-4m2 (115)
Volume ... 20.4 Å³ per atom
D(E_F) ... 5.4 states/eV/cell
Electronic total energy ... -54.24 eV/f.u.
Formation energy (no corrections) ... -524 kJ/mol of formula units

Entry 8:
The following is a PBE calculation of an optimized crystal structure of Ti5Mn2CoRh2, from Alexandria.

Cell: 2.9754 9.8345 9.8345 Å, 90.00 90.00 90.00°
Closest atoms and distances in Å follow each position.
Atoms (fractional coordinates):
Ti: 0.5000 0.2035 0.0398  2 Mn 2.36, 2 Co 2.52
Ti: 0.5000 0.7965 0.9602  2 Mn 2.36, 2 Co 2.52
Ti: 0.5000 0.0398 0.7965  2 Mn 2.36, 2 Co 2.52
Ti: 0.5000 0.7035 0.4602  2 Mn 2.36, 2 Co 2.52
Ti: 0.5000 0.9602 0.2035  2 Mn 2.36, 2 Co 2.52
Ti: 0.5000 0.2965 0.5398  2 Mn 2.36, 2 Co 2.52
Ti: 0.5000 0.5398 0.7035  2 Mn 2.36, 2 Co 2.52
Ti: 0.5000 0.4602 0.2965  2 Mn 2.36, 2 Co 2.52
Ti: 0.5000 0.5000 0.0000  4 Mn 2.44
Ti: 0.5000 0.0000 0.5000  4 Mn 2.44
Mn: 0.0000 0.1394 0.6394  6 Ti 2.36-2.44, 1 Rh 2.62
Mn: 0.0000 0.8606 0.3606  6 Ti 2.36-2.44, 1 Rh 2.62
Mn: 0.0000 0.6394 0.8606  6 Ti 2.36-2.44, 1 Rh 2.62
Mn: 0.0000 0.3606 0.1394  6 Ti 2.36-2.44, 1 Rh 2.62
Co: 0.0000 0.0000 0.0000  8 Ti 2.52
Co: 0.0000 0.5000 0.5000  8 Ti 2.52
Rh: 0.0000 0.6720 0.1720  1 Mn 2.62, 6 Ti 2.82-2.84
Rh: 0.0000 0.3280 0.8280  1 Mn 2.62, 6 Ti 2.82-2.84
Rh: 0.0000 0.1720 0.3280  1 Mn 2.62, 6 Ti 2.82-2.84
Rh: 0.0000 0.8280 0.6720  1 Mn 2.62, 6 Ti 2.82-2.84

Space group ... P4/mbm (127)
Volume ... 14.4 Å³ per atom
D(E_F) ... 16.1 states/eV/cell
Electronic total energy ... -81.53 eV/f.u.
Energy of formation ... -0.191 eV per atom

Question: Look up the D(E_F) of the sixth one.
Answer: 2.5 states/eV/cell

Question: Among the records above, which one has the highest electronic total energy?
Answer: HgP

Copy entry 2 word for word.
The following is a PBE calculation of an optimized crystal structure of ScUCo4, from Alexandria.

Cell: 4.8817 4.8817 4.8817 Å, 60.00 60.00 60.00°
Closest atoms and distances in Å follow each position.
Atoms (fractional coordinates):
Sc: 0.0000 0.0000 0.0000  12 Co 2.86, 4 U 2.99
U: 0.2500 0.2500 0.2500  12 Co 2.86, 4 Sc 2.99
Co: 0.6255 0.6255 0.1234  6 Co 2.43-2.45
Co: 0.6255 0.1234 0.6255  6 Co 2.43-2.45
Co: 0.6255 0.6255 0.6255  6 Co 2.43-2.45
Co: 0.1234 0.6255 0.6255  6 Co 2.43-2.45

Space group ... F-43m (216)
Volume ... 13.7 Å³ per atom
D(E_F) ... 10.3 states/eV/cell
Electronic total energy ... -47.42 eV/f.u.
Energy of formation ... -0.230 eV per atom